No. 1
A plane-wave DFT calculation with PBE was carried out for KAuS after structural relaxation.

Cell: 4.8419 4.9241 7.7566 Å, 90.00 90.00 90.00°
Closest atoms and distances in Å follow each position.
Atoms (fractional coordinates):
K: 0.5000 0.6933 0.2500  2 S 3.22, 4 Au 3.45
K: 0.5000 0.3067 0.7500  2 S 3.22, 4 Au 3.45
Au: 0.0000 0.0000 0.0000  2 S 2.33
Au: 0.0000 0.0000 0.5000  2 S 2.33
S: 0.0000 0.2608 0.2500  2 Au 2.33
S: 0.0000 0.7392 0.7500  2 Au 2.33

Properties
- Total energy: -10.75 eV/f.u.
- V: 30.82 A^3/atom
- Space group: Pmma, No. 51
- Magnetic moment: 0.0000 μB/atom
- Raw formation energy: -0.7486 eV/atom

No. 2
A plane-wave DFT calculation with PBE was carried out for K4AuS after structural relaxation.

Cell: 5.4251 5.4259 7.9228 Å, 90.00 90.00 90.00°
Closest atoms and distances in Å follow each position.
Atoms (fractional coordinates):
K: 0.5012 0.9970 0.2673  2 S 3.27, 2 Au 3.45, 1 K 3.66
K: 0.5014 0.9976 0.7289  2 S 3.27, 2 Au 3.45, 1 K 3.66
K: 0.0014 0.4975 0.7289  2 S 3.27, 2 Au 3.45, 1 K 3.66
K: 0.0012 0.4971 0.2674  2 S 3.27, 2 Au 3.45, 1 K 3.66
Au: 0.5013 0.4973 0.9981  8 K 3.45
S: 0.0013 0.9973 0.4982  8 K 3.27

Properties
- Total energy: -15.34 eV/f.u.
- V: 38.87 A^3/atom
- Space group: P4/mmm, No. 123
- Magnetic moment: 0.0005 μB/atom
- Raw formation energy: -0.5903 eV/atom

Among the records above, which one has the highest magnetic moment?
K4AuS

What is the total energy in the second record?
-15.34 eV/f.u.

Look up the raw formation energy of the first one.
-0.7486 eV/atom

Look up the raw formation energy of the first one.
-0.7486 eV/atom